1.
This record from Alexandria describes a geometry-optimized Tb8Sm2Ho3 structure. The functional is PBE.

abc: 6.8319 9.5028 9.5028
angles: 57.58 61.85 61.85
With the nearest neighbours (Å) after each atom.
Positions (direct):
Tb: 0.0581 0.5833 0.5833  6 Tb 3.27-3.66, 2 Ho 3.42, 1 Sm 3.44
Tb: 0.4417 0.4362 0.7999  5 Tb 3.33-3.66, 2 Ho 3.42-3.48, 2 Sm 3.42-3.50
Tb: 0.5583 0.2001 0.5638  5 Tb 3.33-3.66, 2 Ho 3.42-3.48, 2 Sm 3.42-3.50
Tb: 0.5583 0.5638 0.2001  5 Tb 3.33-3.66, 2 Ho 3.42-3.48, 2 Sm 3.42-3.50
Tb: 0.0100 0.1895 0.1895  1 Ho 3.13, 1 Sm 3.34, 2 Tb 3.45
Tb: 0.9900 0.8105 0.8105  1 Ho 3.13, 1 Sm 3.34, 2 Tb 3.45
Tb: 0.4417 0.7999 0.4362  5 Tb 3.33-3.66, 2 Ho 3.42-3.48, 2 Sm 3.42-3.50
Tb: 0.9419 0.4167 0.4167  6 Tb 3.27-3.66, 2 Ho 3.42, 1 Sm 3.44
Ho: 0.5000 0.0000 0.0000  6 Tb 3.13-3.42
Ho: 0.0000 0.8280 0.1720  1 Ho 3.15, 4 Tb 3.42-3.48
Ho: 0.0000 0.1720 0.8280  1 Ho 3.15, 4 Tb 3.42-3.48
Sm: 0.5086 0.7865 0.7865  7 Tb 3.34-3.52, 3 Ho 3.53-3.73
Sm: 0.4914 0.2135 0.2135  7 Tb 3.34-3.52, 3 Ho 3.53-3.73

Properties
ΔE to the lowest computed polymorph	0.000	eV/atom
DFT formation energy	0.220	eV per atom
crystal system	monoclinic

2.
This record from Alexandria describes a geometry-optimized K2ZnCd5Ag2 structure. The functional is PBE.

abc: 3.8167 11.6219 11.6219
angles: 90.00 90.00 90.00
With the nearest neighbours (Å) after each atom.
Positions (direct):
Ag: 0.0000 0.8720 0.3720  6 Cd 2.84-2.99
Ag: 0.0000 0.3720 0.1280  6 Cd 2.84-2.99
Ag: 0.0000 0.1280 0.6280  6 Cd 2.84-2.99
Ag: 0.0000 0.6280 0.8720  6 Cd 2.84-2.99
Zn: 0.0000 0.0000 0.0000  8 Cd 2.96
Zn: 0.0000 0.5000 0.5000  8 Cd 2.96
K: 0.0000 0.6765 0.1765  3 Ag 3.21-3.58, 2 Cd 3.47
K: 0.0000 0.3235 0.8235  3 Ag 3.21-3.58, 2 Cd 3.47
K: 0.0000 0.1765 0.3235  3 Ag 3.21-3.58, 2 Cd 3.47
K: 0.0000 0.8235 0.6765  3 Ag 3.21-3.58, 2 Cd 3.47
Cd: 0.5000 0.5555 0.6871  2 Zn 2.96, 2 Ag 2.99, 2 Cd 3.21
Cd: 0.5000 0.4445 0.3129  2 Zn 2.96, 2 Ag 2.99, 2 Cd 3.21
Cd: 0.5000 0.0555 0.8129  2 Zn 2.96, 2 Ag 2.99, 2 Cd 3.21
Cd: 0.5000 0.9445 0.1871  2 Zn 2.96, 2 Ag 2.99, 2 Cd 3.21
Cd: 0.5000 0.0000 0.5000  4 Ag 2.84
Cd: 0.5000 0.6871 0.4445  2 Zn 2.96, 2 Ag 2.99, 2 Cd 3.21
Cd: 0.5000 0.1871 0.0555  2 Zn 2.96, 2 Ag 2.99, 2 Cd 3.21
Cd: 0.5000 0.8129 0.9445  2 Zn 2.96, 2 Ag 2.99, 2 Cd 3.21
Cd: 0.5000 0.3129 0.5555  2 Zn 2.96, 2 Ag 2.99, 2 Cd 3.21
Cd: 0.5000 0.5000 0.0000  4 Ag 2.84

Properties
DFT formation energy	0.012	eV per atom
crystal system	tetragonal

3.
This record from Alexandria describes a geometry-optimized NaMgGeOs2 structure. The functional is PBE.

abc: 4.6516 4.6372 4.6516
angles: 90.00 90.00 90.00
With the nearest neighbours (Å) after each atom.
Positions (direct):
Ge: 0.0000 0.5000 0.0000  2 Na 2.32
Os: 0.5000 0.0000 0.0000  2 Na 2.33
Os: 0.0000 0.0000 0.5000  2 Na 2.33
Na: 0.0000 0.0000 0.0000  2 Ge 2.32, 4 Os 2.33
Mg: 0.5000 0.5000 0.5000  8 Os 3.28, 4 Ge 3.29

Properties
DFT formation energy	2.234	eV per atom
crystal system	tetragonal

4.
This record from Alexandria describes a geometry-optimized ZnFe2P structure. The functional is PBE.

abc: 3.5382 3.5382 5.2453
angles: 70.29 70.29 60.00
With the nearest neighbours (Å) after each atom.
Positions (direct):
Fe: 0.2722 0.2722 0.1832  3 P 2.26
Fe: 0.0596 0.0596 0.8212  3 P 2.19
P: 0.6721 0.6721 0.9837  6 Fe 2.19-2.26
Zn: 0.4960 0.4960 0.5119  6 Fe 2.53-2.59, 1 P 2.55

Properties
DFT formation energy	-0.030	eV per atom
crystal system	trigonal

5.
This record from Alexandria describes a geometry-optimized Tb7Y2Er structure. The functional is PBE.

abc: 5.1123 9.8249 9.8249
angles: 128.18 90.00 90.00
With the nearest neighbours (Å) after each atom.
Positions (direct):
Tb: 0.5000 0.7143 0.9244  4 Tb 3.10-3.36, 1 Y 3.25
Tb: 0.5000 0.9244 0.7143  4 Tb 3.10-3.36, 1 Y 3.25
Tb: 0.5000 0.2857 0.0756  4 Tb 3.10-3.36, 1 Y 3.25
Tb: 0.5000 0.5000 0.5000  4 Tb 3.31, 2 Y 3.60
Tb: 0.5000 0.0756 0.2857  4 Tb 3.10-3.36, 1 Y 3.25
Tb: 0.0000 0.1921 0.8079  2 Y 3.15, 4 Tb 3.36, 1 Er 3.40
Tb: 0.0000 0.8079 0.1921  2 Y 3.15, 4 Tb 3.36, 1 Er 3.40
Er: 0.0000 0.0000 0.0000  10 Tb 3.40-3.52
Y: 0.5000 0.7038 0.2962  4 Tb 3.15-3.25
Y: 0.5000 0.2962 0.7038  4 Tb 3.15-3.25

Properties
ΔE to the lowest computed polymorph	0.633	eV/atom
DFT formation energy	0.688	eV per atom
crystal system	orthorhombic

6.
This record from Alexandria describes a geometry-optimized GdCuSnAu structure. The functional is PBE.

abc: 4.9004 4.9004 4.9004
angles: 60.00 60.00 60.00
With the nearest neighbours (Å) after each atom.
Positions (direct):
Cu: 0.0000 0.0000 0.0000  4 Gd 3.00, 4 Sn 3.00
Sn: 0.7500 0.7500 0.7500  4 Au 3.00, 4 Cu 3.00
Au: 0.5000 0.5000 0.5000  4 Sn 3.00, 4 Gd 3.00
Gd: 0.2500 0.2500 0.2500  4 Cu 3.00, 4 Au 3.00

Properties
DFT formation energy	-0.499	eV per atom
crystal system	cubic

7.
This record from Alexandria describes a geometry-optimized AlTe3Au3 structure. The functional is PBE.

abc: 8.4626 9.5142 10.7001
angles: 96.96 90.00 90.00
With the nearest neighbours (Å) after each atom.
Positions (direct):
Au: 0.8903 0.7874 0.0848  3 Te 2.71-2.80, 2 Au 2.79-2.91
Au: 0.2561 0.4981 0.0824  2 Te 2.62-2.65
Au: 0.4531 0.0613 0.6170  1 Te 2.65, 3 Au 2.75-2.91
Au: 0.3903 0.2126 0.4152  3 Te 2.71-2.80, 2 Au 2.79-2.91
Au: 0.2439 0.4981 0.5824  2 Te 2.62-2.65
Au: 0.1097 0.2126 0.9152  3 Te 2.71-2.80, 2 Au 2.79-2.91
Au: 0.0469 0.0613 0.1170  1 Te 2.65, 3 Au 2.75-2.91
Au: 0.9531 0.9387 0.8830  1 Te 2.65, 3 Au 2.75-2.91
Au: 0.5469 0.9387 0.3830  1 Te 2.65, 3 Au 2.75-2.91
Au: 0.7439 0.5019 0.9176  2 Te 2.62-2.65
Au: 0.6097 0.7874 0.5848  3 Te 2.71-2.80, 2 Au 2.79-2.91
Au: 0.7561 0.5019 0.4176  2 Te 2.62-2.65
Te: 0.8898 0.9212 0.6386  2 Au 2.65-2.72, 2 Al 2.72-2.73
Te: 0.6102 0.9212 0.1386  2 Au 2.65-2.72, 2 Al 2.72-2.73
Te: 0.3898 0.0788 0.8614  2 Au 2.65-2.72, 2 Al 2.72-2.73
Te: 0.6404 0.3141 0.5567  1 Al 2.64, 2 Au 2.65-2.71
Te: 0.3596 0.6859 0.4433  1 Al 2.64, 2 Au 2.65-2.71
Te: 0.9567 0.6284 0.2823  2 Au 2.62-2.80, 1 Al 2.62
Te: 0.1404 0.6859 0.9433  1 Al 2.64, 2 Au 2.65-2.71
Te: 0.1102 0.0788 0.3614  2 Au 2.65-2.72, 2 Al 2.72-2.73
Te: 0.8596 0.3141 0.0567  1 Al 2.64, 2 Au 2.65-2.71
Te: 0.5433 0.6284 0.7823  2 Au 2.62-2.80, 1 Al 2.62
Te: 0.0433 0.3716 0.7177  2 Au 2.62-2.80, 1 Al 2.62
Te: 0.4567 0.3716 0.2177  2 Au 2.62-2.80, 1 Al 2.62
Al: 0.0866 0.8211 0.4462  4 Te 2.62-2.73
Al: 0.5866 0.1789 0.0538  4 Te 2.62-2.73
Al: 0.4134 0.8211 0.9462  4 Te 2.62-2.73
Al: 0.9134 0.1789 0.5538  4 Te 2.62-2.73

Properties
uncorrected formation energy	-59	kJ/mol of formula units
crystal system	monoclinic

8.
This record from Alexandria describes a geometry-optimized Er2LuIn structure. The functional is PBE.

abc: 5.3822 5.3822 5.3822
angles: 60.00 60.00 60.00
With the nearest neighbours (Å) after each atom.
Positions (direct):
Lu: 0.0000 0.0000 0.0000  8 Er 3.30
Er: 0.7500 0.7500 0.7500  4 Lu 3.30, 4 In 3.30
Er: 0.2500 0.2500 0.2500  4 In 3.30, 4 Lu 3.30
In: 0.5000 0.5000 0.5000  8 Er 3.30

Properties
ΔE to the lowest computed polymorph	0.127	eV/atom
DFT formation energy	-0.130	eV per atom
crystal system	cubic